1.
Computed, not measured: a relaxed structure of Tb4Dy3Zn at the PBE-GGA level of DFT.

Computed properties:
ΔH_f (0 K), eV/f.u.: -0.568
E_tot, eV for the cell shown: -34.17
ρ, kg/m³: 8339
Space-group type: P4/mmm

Cell: 3.5608 3.5608 18.6672 Å, 90.00 90.00 90.00°
Closest atoms and distances in Å follow each position.
Element x y z (fractional)
Tb 0.0000 0.0000 0.0958  4 Zn 3.09
Tb 0.0000 0.0000 0.3654  8 Dy 3.54-3.56, 4 Tb 3.56
Tb 0.0000 0.0000 0.6346  8 Dy 3.54-3.56, 4 Tb 3.56
Tb 0.0000 0.0000 0.9042  4 Zn 3.09
Dy 0.5000 0.5000 0.2323  8 Tb 3.54-3.58, 4 Dy 3.56
Dy 0.5000 0.5000 0.5000  8 Tb 3.56, 4 Dy 3.56
Dy 0.5000 0.5000 0.7677  8 Tb 3.54-3.58, 4 Dy 3.56
Zn 0.5000 0.5000 0.0000  8 Tb 3.09


2.
Computed, not measured: a relaxed structure of Ba5Te2O12 at the PBE-GGA level of DFT.

Computed properties:
E_form (uncorrected), eV per atom: -1.720
E_tot, eV for the cell shown: -108.08
ρ, kg/m³: 5724
Space-group type: P-1

Cell: 7.4617 7.6257 7.6982 Å, 119.07 92.89 114.86°
Closest atoms and distances in Å follow each position.
Element x y z (fractional)
Ba 0.0000 0.0000 0.0000  4 O 2.66
Ba 0.2678 0.2420 0.5264  4 O 2.59-2.79
Ba 0.3319 0.7282 0.0337  5 O 2.62-2.91
Ba 0.6681 0.2718 0.9663  5 O 2.62-2.91
Ba 0.7322 0.7580 0.4736  4 O 2.59-2.79
Te 0.2075 0.6995 0.4939  7 O 1.97-2.14
Te 0.7925 0.3005 0.5061  7 O 1.97-2.14
O 0.0898 0.7645 0.2860  1 Te 2.14
O 0.1089 0.5324 0.6427  2 Te 2.05-2.06
O 0.1914 0.9676 0.7133  1 Te 1.98
O 0.2524 0.4549 0.2808  1 Te 1.97
O 0.4652 0.8786 0.4276  1 O 1.44
O 0.4767 0.8156 0.7240  1 Te 2.14
O 0.5233 0.1844 0.2760  1 Te 2.14
O 0.5348 0.1214 0.5724  1 O 1.44
O 0.7476 0.5451 0.7192  1 Te 1.97
O 0.8086 0.0324 0.2867  1 Te 1.98
O 0.8911 0.4676 0.3573  2 Te 2.05-2.06
O 0.9102 0.2355 0.7140  1 Te 2.14


3.
Computed, not measured: a relaxed structure of NaPm2In at the PBE-GGA level of DFT.

Computed properties:
ΔH_f (0 K), eV/f.u.: -0.114
E_tot, eV for the cell shown: -13.67
ρ, kg/m³: 5326
Space-group type: R-3m

Cell: 11.5736 11.5736 11.5736 Å, 18.29 18.29 18.29°
Closest atoms and distances in Å follow each position.
Element x y z (fractional)
Na 0.0000 0.0000 0.0000  6 Na 3.68, 6 Pm 3.85
Pm 0.2392 0.2392 0.2392  3 In 3.26
Pm 0.7608 0.7608 0.7608  3 In 3.26
In 0.5000 0.5000 0.5000  6 Pm 3.26


4.
Computed, not measured: a relaxed structure of PuPaAlGe at the PBE-GGA level of DFT.

Computed properties:
ΔH_f (0 K), eV/f.u.: -0.056
E_tot, eV for the cell shown: -32.24
ρ, kg/m³: 10874
Space-group type: Amm2

Cell: 5.3653 5.5741 5.5741 Å, 31.76 90.00 90.00°
Closest atoms and distances in Å follow each position.
Element x y z (fractional)
Pu 0.0000 0.0000 0.0000  3 Pa 2.74-3.04, 2 Ge 2.99, 2 Pu 3.05
Pa 0.0000 0.7448 0.7448  3 Pu 2.74-3.04, 2 Ge 3.03, 2 Pa 3.05
Al 0.5000 0.1456 0.1456  3 Ge 2.89-2.91, 2 Al 3.05, 2 Pu 3.10
Ge 0.5000 0.8763 0.8763  3 Al 2.89-2.91, 2 Pu 2.99, 2 Pa 3.03, 2 Ge 3.05


Question: Which value of E_tot does entry 2 give?
Answer: -108.08 eV for the cell shown


What did the first record say?
Computed, not measured: a relaxed structure of Tb4Dy3Zn at the PBE-GGA level of DFT.

Computed properties:
ΔH_f (0 K), eV/f.u.: -0.568
E_tot, eV for the cell shown: -34.17
ρ, kg/m³: 8339
Space-group type: P4/mmm

Cell: 3.5608 3.5608 18.6672 Å, 90.00 90.00 90.00°
Closest atoms and distances in Å follow each position.
Element x y z (fractional)
Tb 0.0000 0.0000 0.0958  4 Zn 3.09
Tb 0.0000 0.0000 0.3654  8 Dy 3.54-3.56, 4 Tb 3.56
Tb 0.0000 0.0000 0.6346  8 Dy 3.54-3.56, 4 Tb 3.56
Tb 0.0000 0.0000 0.9042  4 Zn 3.09
Dy 0.5000 0.5000 0.2323  8 Tb 3.54-3.58, 4 Dy 3.56
Dy 0.5000 0.5000 0.5000  8 Tb 3.56, 4 Dy 3.56
Dy 0.5000 0.5000 0.7677  8 Tb 3.54-3.58, 4 Dy 3.56
Zn 0.5000 0.5000 0.0000  8 Tb 3.09


Question: The highest ρ belongs to which entry?
Answer: PuPaAlGe